VASP calculation (PBE) on an optimized crystal structure of InSeCl2.

Calculated values
Magnetic moment, μB per cell: 0.0
D(E_F), states/eV per cell: 2.49
Energy, eV/atom: -2.70
E above lowest polymorph, meV per atom: 433.0
ΔE_f (raw), kJ/mol of atoms: -21.7

a b c (Å): 9.539 9.539 9.539
angles (deg): 22.41 22.41 22.41
Fractional coordinates of all 4 atoms:
Cl (0.913, 0.913, 0.913)
Cl (0.087, 0.087, 0.087)
Se (0.000, 0.000, 0.000)
In (0.500, 0.500, 0.500)